A geometry-optimized MgTeP2 structure, computed with PBE.

```
data_MgTeP2
_cell_length_a 6.814
_cell_length_b 6.814
_cell_length_c 6.814
_cell_angle_alpha 90.00
_cell_angle_beta 90.00
_cell_angle_gamma 90.00
_symmetry_space_group_name_H-M 'F -4 3 m'
_symmetry_Int_Tables_number 216
_symmetry_space_group_name_Hall 'F -4 2 3'
loop_
_atom_site_label
_atom_site_type_symbol
_atom_site_fract_x
_atom_site_fract_y
_atom_site_fract_z
Mg1 Mg 0.000 0.000 0.000
Te1 Te 0.250 0.250 0.250
P1 P 0.000 0.000 0.500
P2 P 0.250 0.250 0.750
```

Computed properties:
Its density is 4489 kg/m³. As for the uncorrected formation energy: 0.424 eV/atom. Its offset from the most stable computed form is 572 meV/atom.



A geometry-optimized MgTeP structure, computed with PBE.

```
data_MgTeP
_cell_length_a 6.648
_cell_length_b 6.648
_cell_length_c 6.648
_cell_angle_alpha 90.00
_cell_angle_beta 90.00
_cell_angle_gamma 90.00
_symmetry_space_group_name_H-M 'F -4 3 m'
_symmetry_Int_Tables_number 216
_symmetry_space_group_name_Hall 'F -4 2 3'
loop_
_atom_site_label
_atom_site_type_symbol
_atom_site_fract_x
_atom_site_fract_y
_atom_site_fract_z
Mg1 Mg 0.000 0.000 0.000
Te1 Te 0.250 0.250 0.250
P1 P 0.250 0.250 0.750
```

Computed properties:
Its density is 4134 kg/m³. As for the uncorrected formation energy: 0.065 eV/atom. Its offset from the most stable computed form is 241 meV/atom.



A geometry-optimized MgTe3P structure, computed with PBE.

```
data_MgTe3P
_cell_length_a 5.341
_cell_length_b 5.341
_cell_length_c 5.341
_cell_angle_alpha 90.00
_cell_angle_beta 90.00
_cell_angle_gamma 90.00
_symmetry_space_group_name_H-M 'P m -3 m'
_symmetry_Int_Tables_number 221
_symmetry_space_group_name_Hall '-P 4 2 3'
loop_
_atom_site_label
_atom_site_type_symbol
_atom_site_fract_x
_atom_site_fract_y
_atom_site_fract_z
Mg1 Mg 0.000 0.000 0.000
Te1 Te 0.000 0.000 0.500
P1 P 0.500 0.500 0.500
```

Computed properties:
Its density is 4774 kg/m³. As for the uncorrected formation energy: 0.720 eV/atom.